Here is a relaxed Ce3Sn2Hg2 crystal from Alexandria via LeMat-Bulk. Energies are from GGA-PBE.

Properties
As for the calculated volume: 26.53 Å³/atom. The space group is No. 65. The value obtained for the energy of formation from the pure elements is -471 meV per atom. As for the final energy: -4.2436 eV per atom. The value obtained for the spin magnetization is 3.093 μB per formula unit.

Cell and atoms, written as POSCAR:
```
Ce3Sn2Hg2
1.0
2.410 -11.240 0.000
2.410 11.240 0.000
0.000 0.000 3.429
Ce Sn Hg
3 2 2
Direct
0.000 0.000 0.000 Ce
0.154 0.846 0.000 Ce
0.846 0.154 0.000 Ce
0.425 0.575 0.500 Sn
0.575 0.425 0.500 Sn
0.286 0.714 0.500 Hg
0.714 0.286 0.500 Hg
```

=====

Here is a relaxed Ce3SnHg crystal from Alexandria via LeMat-Bulk. Energies are from GGA-PBE.

Properties
As for the calculated volume: 28.38 Å³/atom. The space group is No. 10. The value obtained for the energy of formation from the pure elements is 40 meV per atom. As for the final energy: -4.3808 eV per atom. The value obtained for the spin magnetization is 2.215 μB per formula unit.

Cell and atoms, written as POSCAR:
```
Ce3SnHg
1.0
8.970 0.000 0.000
0.000 3.155 0.000
-2.313 0.000 10.030
Ce Sn Hg
6 2 2
Direct
0.000 0.000 0.000 Ce
0.130 0.000 0.783 Ce
0.276 0.000 0.179 Ce
0.500 0.000 0.000 Ce
0.724 0.000 0.821 Ce
0.870 0.000 0.217 Ce
0.412 0.500 0.695 Sn
0.588 0.500 0.305 Sn
0.165 0.000 0.460 Hg
0.835 0.000 0.540 Hg
```

=====

- What is the energy of formation from the pure elements in the first record?
  -471 meV per atom

=====

Copy entry 1 word for word.
Here is a relaxed Ce3Sn2Hg2 crystal from Alexandria via LeMat-Bulk. Energies are from GGA-PBE.

Properties
As for the calculated volume: 26.53 Å³/atom. The space group is No. 65. The value obtained for the energy of formation from the pure elements is -471 meV per atom. As for the final energy: -4.2436 eV per atom. The value obtained for the spin magnetization is 3.093 μB per formula unit.

Cell and atoms, written as POSCAR:
```
Ce3Sn2Hg2
1.0
2.410 -11.240 0.000
2.410 11.240 0.000
0.000 0.000 3.429
Ce Sn Hg
3 2 2
Direct
0.000 0.000 0.000 Ce
0.154 0.846 0.000 Ce
0.846 0.154 0.000 Ce
0.425 0.575 0.500 Sn
0.575 0.425 0.500 Sn
0.286 0.714 0.500 Hg
0.714 0.286 0.500 Hg
```

=====

- Which value of spin magnetization does entry 1 give?
  3.093 μB per formula unit

=====

- What is the formula in the second record?
  Ce3SnHg